Rb2PdSe16: optimized geometry, PBE.

Summary:
formation energy from raw total energies	-0.282	eV per atom
magnetization	0.00	μB per formula unit
V	1186	Å³/cell
E	-136.47	eV/cell
ρ	4.314	Mg/m³

Lattice parameters (Å, degrees): 12.9562 12.9562 7.0666 90.00 90.00 90.00
With the nearest neighbours (Å) after each atom.
Positions (direct):
Se1 0.3119 0.5293 0.9708  1 Se 2.39, 1 Pd 2.48
Se2 0.8119 0.9707 0.9708  1 Se 2.39, 1 Pd 2.48
Rb1 0.5000 0.0000 0.0000  12 Se 3.94-4.06
Se3 0.5293 0.6881 0.0292  1 Se 2.39, 1 Pd 2.48
Se4 0.5804 0.8087 0.5916  2 Se 2.40-2.41
Se5 0.2073 0.2052 0.8726  2 Se 2.39-2.41
Se6 0.7927 0.7948 0.8726  2 Se 2.39-2.41
Se7 0.6913 0.9196 0.4084  2 Se 2.40-2.41
Se8 0.3087 0.0804 0.4084  2 Se 2.40-2.41
Se9 0.4196 0.1913 0.5916  2 Se 2.40-2.41
Se10 0.5776 0.1921 0.4148  2 Se 2.40-2.42
Se11 0.9224 0.6921 0.4148  2 Se 2.40-2.42
Se12 0.2052 0.7927 0.1274  2 Se 2.39-2.41
Rb2 0.5000 0.5000 0.5000  2 Pd 3.53
Se13 0.4224 0.8079 0.4148  2 Se 2.40-2.42
Se14 0.9196 0.3087 0.5916  2 Se 2.40-2.41
Se15 0.4707 0.3119 0.0292  1 Se 2.39, 1 Pd 2.48
Se16 0.1881 0.0293 0.9708  1 Se 2.39, 1 Pd 2.48
Se17 0.2948 0.2927 0.1274  2 Se 2.39-2.41
Se18 0.9707 0.1881 0.0292  1 Se 2.39, 1 Pd 2.48
Pd1 0.5000 0.5000 0.0000  4 Se 2.48
Se19 0.7073 0.2948 0.8726  2 Se 2.39-2.41
Pd2 0.0000 0.0000 0.0000  4 Se 2.48
Se20 0.1921 0.4224 0.5852  2 Se 2.40-2.42
Se21 0.6881 0.4707 0.9708  1 Se 2.39, 1 Pd 2.48
Rb3 0.0000 0.0000 0.5000  2 Pd 3.53
Se22 0.0804 0.6913 0.5916  2 Se 2.40-2.41
Se23 0.3079 0.9224 0.5852  2 Se 2.40-2.42
Se24 0.7052 0.7073 0.1274  2 Se 2.39-2.41
Se25 0.1913 0.5804 0.4084  2 Se 2.40-2.41
Se26 0.8087 0.4196 0.4084  2 Se 2.40-2.41
Se27 0.2927 0.7052 0.8726  2 Se 2.39-2.41
Se28 0.0776 0.3079 0.4148  2 Se 2.40-2.42
Se29 0.6921 0.0776 0.5852  2 Se 2.40-2.42
Rb4 0.0000 0.5000 0.0000  12 Se 3.94-4.06
Se30 0.0293 0.8119 0.0292  1 Se 2.39, 1 Pd 2.48
Se31 0.7948 0.2073 0.1274  2 Se 2.39-2.41
Se32 0.8079 0.5776 0.5852  2 Se 2.40-2.42

=====

Dy3Ga2Ge: optimized geometry, PBE.

Summary:
magnetization	0.00	μB per formula unit
V	577	Å³/cell
E	-113.10	eV/cell
ρ	8.051	Mg/m³

Lattice parameters (Å, degrees): 4.0900 11.8750 11.8829 90.00 90.00 90.00
With the nearest neighbours (Å) after each atom.
Positions (direct):
Dy1 0.2500 0.4450 0.3813  3 Ge 3.00-3.10, 5 Ga 3.04-3.21
Ge1 0.2500 0.3705 0.6314  3 Ga 2.60-2.64
Dy2 0.2500 0.7073 0.2109  3 Ga 2.90-3.20, 2 Ge 2.92
Dy3 0.2500 0.3777 0.0578  5 Ga 2.95-3.24, 1 Ge 3.07
Ga1 0.7500 0.5019 0.1867  1 Ge 2.64, 2 Dy 2.95
Ga2 0.7500 0.1927 0.0114  2 Ge 2.60, 1 Dy 2.90
Dy4 0.2500 0.1223 0.5578  5 Ga 2.95-3.24, 1 Ge 3.07
Ga3 0.7500 0.3073 0.5114  2 Ge 2.60, 1 Dy 2.90
Dy5 0.2500 0.7927 0.7109  3 Ga 2.90-3.20, 2 Ge 2.92
Ga4 0.7500 0.9981 0.6867  1 Ge 2.64, 2 Dy 2.95
Ge2 0.7500 0.8705 0.8686  3 Ga 2.60-2.64
Ga5 0.2500 0.0019 0.3133  1 Ge 2.64, 2 Dy 2.95
Ga6 0.2500 0.8073 0.9886  2 Ge 2.60, 1 Dy 2.90
Dy6 0.7500 0.5550 0.6187  3 Ge 3.00-3.10, 5 Ga 3.04-3.21
Dy7 0.7500 0.2927 0.7891  3 Ga 2.90-3.20, 2 Ge 2.92
Dy8 0.7500 0.9450 0.1187  3 Ge 3.00-3.10, 5 Ga 3.04-3.21
Dy9 0.7500 0.6223 0.9422  5 Ga 2.95-3.24, 1 Ge 3.07
Ga7 0.2500 0.6927 0.4886  2 Ge 2.60, 1 Dy 2.90
Dy10 0.7500 0.2073 0.2891  3 Ga 2.90-3.20, 2 Ge 2.92
Dy11 0.2500 0.0550 0.8813  3 Ge 3.00-3.10, 5 Ga 3.04-3.21
Ge3 0.2500 0.1295 0.1314  3 Ga 2.60-2.64
Ge4 0.7500 0.6295 0.3686  3 Ga 2.60-2.64
Ga8 0.2500 0.4981 0.8133  1 Ge 2.64, 2 Dy 2.95
Dy12 0.7500 0.8777 0.4422  5 Ga 2.95-3.24, 1 Ge 3.07

=====

AcCu4F12: optimized geometry, PBE.

Summary:
formation energy from raw total energies	-2.116	eV per atom
magnetization	0.89	μB per formula unit
V	249	Å³/cell
E	-78.93	eV/cell
ρ	4.727	Mg/m³

Lattice parameters (Å, degrees): 6.8653 6.8653 6.8653 109.47 109.47 109.47
With the nearest neighbours (Å) after each atom.
Positions (direct):
F1 0.9962 0.7613 0.2349  2 Cu 1.99
F2 0.7651 0.5263 0.7613  2 Cu 1.99
F3 0.7613 0.2349 0.9962  2 Cu 1.99
Cu1 0.5000 0.5000 0.5000  6 F 1.99
F4 0.0038 0.2387 0.7651  2 Cu 1.99
F5 0.2349 0.4737 0.2387  2 Cu 1.99
F6 0.2349 0.9962 0.7613  2 Cu 1.99
F7 0.7613 0.7651 0.5263  2 Cu 1.99
F8 0.2387 0.2349 0.4737  2 Cu 1.99
F9 0.5263 0.7613 0.7651  2 Cu 1.99
Ac1 0.0000 0.0000 0.0000  12 F 2.66
F10 0.2387 0.7651 0.0038  2 Cu 1.99
F11 0.4737 0.2387 0.2349  2 Cu 1.99
Cu2 0.0000 0.0000 0.5000  6 F 1.99
Cu3 0.0000 0.5000 0.0000  6 F 1.99
F12 0.7651 0.0038 0.2387  2 Cu 1.99
Cu4 0.5000 0.0000 0.0000  6 F 1.99

=====

Hf4ZnGe2: optimized geometry, PBE.

Summary:
magnetization	0.00	μB per formula unit
V	271	Å³/cell
E	-106.61	eV/cell
ρ	11.336	Mg/m³

Lattice parameters (Å, degrees): 7.0590 7.0590 7.0610 109.65 109.65 109.11
With the nearest neighbours (Å) after each atom.
Positions (direct):
Hf1 0.0150 0.2654 0.3921  4 Ge 2.70-2.94, 2 Zn 2.72-2.95
Hf2 0.7346 0.1266 0.7495  4 Ge 2.70-2.94, 2 Zn 2.71-2.95
Ge1 0.6250 0.2482 0.1232  8 Hf 2.70-2.94
Ge2 0.1250 0.5017 0.8768  8 Hf 2.70-2.94
Hf3 0.8728 0.6232 0.1079  4 Ge 2.70-2.94, 2 Zn 2.72-2.95
Hf4 0.8734 0.6229 0.6079  4 Ge 2.70-2.94, 2 Zn 2.72-2.95
Hf5 0.5153 0.7649 0.8921  4 Ge 2.70-2.94, 2 Zn 2.72-2.95
Zn1 0.2499 0.7499 0.5000  8 Hf 2.72-2.95
Ge3 0.7518 0.8751 0.3768  8 Hf 2.70-2.94
Hf6 0.2351 0.1272 0.7505  4 Ge 2.70-2.94, 2 Zn 2.72-2.95
Hf7 0.3772 0.9851 0.2505  4 Ge 2.70-2.94, 2 Zn 2.71-2.95
Hf8 0.3767 0.4846 0.2495  4 Ge 2.70-2.94, 2 Zn 2.72-2.95
Ge4 0.4983 0.3750 0.6232  8 Hf 2.70-2.94
Zn2 0.9999 0.0000 0.0000  8 Hf 2.71-2.95

=====

Zr2BeSiC: optimized geometry, PBE.

Summary:
formation energy from raw total energies	-0.031	eV per atom
magnetization	0.00	μB per formula unit
V	77	Å³/cell
E	-35.62	eV/cell
ρ	5.026	Mg/m³

Lattice parameters (Å, degrees): 4.5727 3.6586 4.5727 90.00 90.00 90.00
With the nearest neighbours (Å) after each atom.
Positions (direct):
Be1 0.5000 0.5000 0.5000  8 Zr 2.93, 4 Si 3.23
Si1 0.0000 0.5000 0.0000  2 C 1.83
Zr1 0.5000 0.0000 0.0000  2 C 2.29
C1 0.0000 0.0000 0.0000  2 Si 1.83
Zr2 0.0000 0.0000 0.5000  2 C 2.29

=====

Li6Cd2Cu: optimized geometry, PBE.

Summary:
magnetization	0.00	μB per formula unit
V	152	Å³/cell
E	-18.51	eV/cell
ρ	3.602	Mg/m³

Lattice parameters (Å, degrees): 5.3689 5.3733 5.3733 96.08 83.83 83.83
With the nearest neighbours (Å) after each atom.
Positions (direct):
Cu1 0.0000 0.0000 0.0000  2 Cd 2.66
Li1 0.1655 0.1653 0.5003  5 Li 2.64-2.75, 2 Cd 2.95
Li2 0.5000 0.1651 0.8349  5 Li 2.64-2.75
Cd1 0.6773 0.3232 0.3232  1 Cu 2.66, 1 Cd 2.92, 6 Li 2.95-2.96
Li3 0.1655 0.5003 0.1653  5 Li 2.64-2.75, 2 Cd 2.95
Li4 0.5000 0.8349 0.1651  5 Li 2.64-2.75
Cd2 0.3227 0.6768 0.6768  1 Cu 2.66, 1 Cd 2.92, 6 Li 2.95-2.96
Li5 0.8345 0.4997 0.8347  5 Li 2.64-2.75, 2 Cd 2.95
Li6 0.8345 0.8347 0.4997  5 Li 2.64-2.75, 2 Cd 2.95

=====

Cs5Sn2Se5: optimized geometry, PBE.

Summary:
formation energy from raw total energies	-0.919	eV per atom
magnetization	0.00	μB per formula unit
V	502	Å³/cell
E	-40.73	eV/cell
ρ	4.286	Mg/m³

Lattice parameters (Å, degrees): 5.0493 8.3021 13.6611 67.46 79.35 72.30
With the nearest neighbours (Å) after each atom.
Positions (direct):
Se1 0.6271 0.5288 0.2171  2 Sn 2.89
Cs1 0.7693 0.8327 0.6287  5 Se 3.62-3.83, 1 Cs 3.85
Sn1 0.9577 0.2838 0.8007  4 Se 2.65-2.89
Cs2 0.2307 0.1673 0.3713  5 Se 3.62-3.83, 1 Cs 3.85
Se2 0.8973 0.8512 0.3542  1 Sn 2.65
Sn2 0.0423 0.7162 0.1993  4 Se 2.65-2.89
Cs3 0.3429 0.2417 0.0725  3 Se 3.50-3.67, 1 Cs 3.85
Se3 0.1027 0.1488 0.6458  1 Sn 2.65
Cs4 0.5000 0.5000 0.5000  6 Se 3.73-3.76
Se4 0.0000 0.0000 0.0000  2 Sn 2.83
Se5 0.3729 0.4712 0.7829  2 Sn 2.89
Cs5 0.6571 0.7583 0.9275  3 Se 3.50-3.67, 1 Cs 3.85

=====

TbHo2Bi: optimized geometry, PBE.

Summary:
magnetization	0.00	μB per formula unit
V	114	Å³/cell
E	-18.99	eV/cell
ρ	10.164	Mg/m³

Lattice parameters (Å, degrees): 4.8456 4.8504 4.8504 90.00 90.00 90.00
With the nearest neighbours (Å) after each atom.
Positions (direct):
Bi1 0.5000 0.0000 0.0000  8 Ho 3.43, 4 Tb 3.43
Tb1 0.5000 0.5000 0.5000  8 Ho 3.43, 4 Bi 3.43
Ho1 0.0000 0.5000 0.0000  4 Tb 3.43, 4 Bi 3.43, 4 Ho 3.43
Ho2 0.0000 0.0000 0.5000  4 Tb 3.43, 4 Bi 3.43, 4 Ho 3.43

=====

BaTa2Al: optimized geometry, PBE.

Summary:
magnetization	0.00	μB per formula unit
V	249	Å³/cell
E	-50.69	eV/cell
ρ	7.005	Mg/m³

Lattice parameters (Å, degrees): 5.0043 5.0043 10.5719 76.31 76.31 90.00
With the nearest neighbours (Å) after each atom.
Positions (direct):
Ta1 0.3750 0.6250 0.2500  2 Ta 2.50, 2 Al 2.79
Al1 0.2500 0.7500 0.5000  4 Ta 2.79
Ba1 0.0000 0.0000 0.0000  4 Al 3.54, 8 Ta 3.75
Ta2 0.8750 0.6250 0.7500  2 Ta 2.50, 2 Al 2.79
Ba2 0.7500 0.2500 0.5000  4 Al 3.54, 8 Ta 3.75
Ta3 0.3750 0.1250 0.2500  2 Ta 2.50, 2 Al 2.79
Al2 0.5000 0.5000 0.0000  4 Ta 2.79
Ta4 0.3750 0.6250 0.7500  2 Ta 2.50, 2 Al 2.79

=====

CsNa3Pa4S12: optimized geometry, PBE.

Summary:
formation energy from raw total energies	-1.485	eV per atom
magnetization	0.00	μB per formula unit
V	534	Å³/cell
E	-122.02	eV/cell
ρ	4.698	Mg/m³

Lattice parameters (Å, degrees): 8.8524 8.8524 8.8524 109.47 109.47 109.47
With the nearest neighbours (Å) after each atom.
Positions (direct):
S1 0.4957 0.2953 0.2004  2 Pa 2.65, 1 Na 2.93
Pa1 0.5000 0.0000 0.0000  6 S 2.65
S2 0.2004 0.9051 0.7047  2 Pa 2.65, 1 Na 2.93
S3 0.2004 0.4957 0.2953  2 Pa 2.65, 1 Na 2.93
S4 0.2953 0.7996 0.0949  2 Pa 2.65, 1 Na 2.93
S5 0.9051 0.7047 0.2004  2 Pa 2.65, 1 Na 2.93
Pa2 0.5000 0.5000 0.5000  6 S 2.65
S6 0.2953 0.2004 0.4957  2 Pa 2.65, 1 Na 2.93
Na1 0.0000 0.5000 0.5000  4 S 2.93
S7 0.7996 0.0949 0.2953  2 Pa 2.65, 1 Na 2.93
Pa3 0.0000 0.5000 0.0000  6 S 2.65
S8 0.7047 0.2004 0.9051  2 Pa 2.65, 1 Na 2.93
S9 0.0949 0.2953 0.7996  2 Pa 2.65, 1 Na 2.93
Na2 0.5000 0.5000 0.0000  4 S 2.93
Pa4 0.0000 0.0000 0.5000  6 S 2.65
Na3 0.5000 0.0000 0.5000  4 S 2.93
S10 0.5043 0.7047 0.7996  2 Pa 2.65, 1 Na 2.93
S11 0.7996 0.5043 0.7047  2 Pa 2.65, 1 Na 2.93
S12 0.7047 0.7996 0.5043  2 Pa 2.65, 1 Na 2.93
Cs1 0.0000 0.0000 0.0000  12 S 3.65